Compound: HfZr2C3
Source: the Alexandria database
Functional: GGA-PBE
Structure: relaxed

Unit cell a=11.6576 b=6.7305 c=4.6980 alpha=90.00 beta=90.00 gamma=90.00
Closest atoms and distances in Å follow each position.
Space group Cmc2_1 (No. 36)
Symmetry-distinct sites (fractional):
Hf 0.0000 0.1656 0.0000 [4 per cell]  5 C 2.22-2.39
Zr 0.1661 0.3328 0.5002 [8 per cell]  5 C 2.25-2.38
C 0.0000 0.1636 0.5082 [4 per cell]  3 Hf 2.22-2.39, 2 Zr 2.25
C 0.1651 0.3317 0.0072 [8 per cell]  1 Hf 2.23, 4 Zr 2.26-2.38

Its total moment is 0.000 μB/atom. The calculation puts the calculated formation energy at -587 meV/atom.

Compound: Hf4ZrC5
Source: the Alexandria database
Functional: GGA-PBE
Structure: relaxed

Unit cell a=7.3745 b=7.3745 c=4.6628 alpha=90.00 beta=90.00 gamma=90.00
Closest atoms and distances in Å follow each position.
Space group I4/m (No. 87)
Symmetry-distinct sites (fractional):
Hf 0.1003 0.6998 0.0000 [8 per cell]  6 C 2.32-2.33
Zr 0.0000 0.0000 0.5000 [2 per cell]  6 C 2.33-2.35
C 0.0000 0.0000 0.0000 [2 per cell]  2 Zr 2.33, 4 Hf 2.33
C 0.1009 0.6979 0.5000 [8 per cell]  5 Hf 2.32-2.33, 1 Zr 2.35

Its total moment is 0.000 μB/atom. The calculation puts the calculated formation energy at -917 meV/atom.

Compound: HfZr2C2
Source: the Alexandria database
Functional: GGA-PBE
Structure: relaxed

Unit cell a=3.3264 b=4.7154 c=9.9120 alpha=90.00 beta=90.00 gamma=90.00
Closest atoms and distances in Å follow each position.
Space group Immm (No. 71)
Symmetry-distinct sites (fractional):
Hf 0.0000 0.0000 0.0000 [2 per cell]  4 C 2.33
Zr 0.0000 0.0000 0.3223 [4 per cell]  4 C 2.28-2.36
C 0.0000 0.5000 0.3355 [4 per cell]  4 Zr 2.28-2.36, 2 Hf 2.33

Its total moment is 0.000 μB/atom. The calculation puts the calculated formation energy at -704 meV/atom.

Compound: HfZr3C4
Source: the Alexandria database
Functional: GGA-PBE
Structure: relaxed

Unit cell a=4.7047 b=4.7047 c=4.7047 alpha=90.00 beta=90.00 gamma=90.00
Closest atoms and distances in Å follow each position.
Space group Pm-3m (No. 221)
Symmetry-distinct sites (fractional):
Hf 0.0000 0.0000 0.0000 [1 per cell]  6 C 2.35
Zr 0.0000 0.5000 0.5000 [3 per cell]  6 C 2.35
C 0.0000 0.0000 0.5000 [3 per cell]  4 Zr 2.35, 2 Hf 2.35
C 0.5000 0.5000 0.5000 [1 per cell]  6 Zr 2.35

Its total moment is 0.000 μB/atom. The calculation puts the calculated formation energy at -846 meV/atom.

Compound: Hf3ZrC4
Source: the Alexandria database
Functional: GGA-PBE
Structure: relaxed

Unit cell a=4.6684 b=4.6684 c=4.6684 alpha=90.00 beta=90.00 gamma=90.00
Closest atoms and distances in Å follow each position.
Space group Pm-3m (No. 221)
Symmetry-distinct sites (fractional):
Hf 0.0000 0.0000 0.5000 [3 per cell]  6 C 2.33
Zr 0.5000 0.5000 0.5000 [1 per cell]  6 C 2.33
C 0.0000 0.0000 0.0000 [1 per cell]  6 Hf 2.33
C 0.0000 0.5000 0.5000 [3 per cell]  2 Zr 2.33, 4 Hf 2.33

Its total moment is 0.000 μB/atom. The calculation puts the calculated formation energy at -914 meV/atom.

Compound: HfZr5C4
Source: the Alexandria database
Functional: GGA-PBE
Structure: relaxed

Unit cell a=14.4475 b=3.3410 c=6.6756 alpha=90.00 beta=103.94 gamma=90.00
Closest atoms and distances in Å follow each position.
Space group C2/m (No. 12)
Symmetry-distinct sites (fractional):
Hf 0.0000 0.0000 0.0000 [2 per cell]  6 C 2.35-2.36
Zr 0.0000 0.0000 0.5000 [2 per cell]  4 C 2.37
Zr 0.1622 0.5000 0.3201 [4 per cell]  3 C 2.25-2.29
Zr 0.1649 0.5000 0.8493 [4 per cell]  4 C 2.31-2.36
C 0.0016 0.5000 0.2497 [4 per cell]  4 Zr 2.25-2.37, 2 Hf 2.36
C 0.1676 0.0000 0.0891 [4 per cell]  5 Zr 2.29-2.36, 1 Hf 2.35

Its total moment is 0.000 μB/atom. The calculation puts the calculated formation energy at -697 meV/atom.

Compound: Hf2ZrC2
Source: the Alexandria database
Functional: GGA-PBE
Structure: relaxed

Unit cell a=3.3178 b=3.3178 c=24.1311 alpha=90.00 beta=90.00 gamma=120.00
Closest atoms and distances in Å follow each position.
Space group R-3m (No. 166, hexagonal axes)
Symmetry-distinct sites (fractional):
Hf 0.0000 0.0000 0.2258 [6 per cell]  3 C 2.24
Zr 0.0000 0.0000 0.0000 [3 per cell]  6 C 2.39
C 0.0000 0.0000 0.3928 [6 per cell]  3 Hf 2.24, 3 Zr 2.39

Its total moment is 0.000 μB/atom. The calculation puts the calculated formation energy at -748 meV/atom.

Compound: HfZr2C2
Source: the Alexandria database
Functional: GGA-PBE
Structure: relaxed

Unit cell a=5.7427 b=10.0018 c=5.7345 alpha=90.00 beta=108.72 gamma=90.00
Closest atoms and distances in Å follow each position.
Space group C2/c (No. 15)
Symmetry-distinct sites (fractional):
Hf 0.0000 0.0694 0.2500 [4 per cell]  4 C 2.25-2.31
Zr 0.0000 0.2510 0.7500 [4 per cell]  4 C 2.37
Zr 0.0000 0.4273 0.2500 [4 per cell]  4 C 2.28-2.36
C 0.2459 0.0817 0.0005 [8 per cell]  2 Hf 2.25-2.31, 4 Zr 2.28-2.37

Its total moment is 0.000 μB/atom. The calculation puts the calculated formation energy at -716 meV/atom.

no.,E (eV/cell)
1,-232.96
2,-207.29
3,-98.03
4,-79.26
5,-82.62
6,-193.12
7,-151.93
8,-196.31